CsNaSmS2 after structural relaxation, computed with PBE.

Formation energy without anion corrections, eV/atom: -1.191
N(E_F), states/eV per cell: 3.7
Symmetry: Cmme (67)

Unit cell a=8.9906 b=8.9906 c=6.0563 alpha=90.00 beta=90.00 gamma=128.24
Fractional coordinates of all 10 atoms:
Cs: 0.2500 0.7500 0.7912
Cs: 0.7500 0.2500 0.2088
Na: 0.0000 0.0000 0.0000
Na: 0.5000 0.5000 0.0000
Sm: 0.2500 0.2500 0.5000
Sm: 0.7500 0.7500 0.5000
S: 0.1056 0.8944 0.3617
S: 0.3944 0.6056 0.3617
S: 0.6056 0.3944 0.6383
S: 0.8944 0.1056 0.6383